1.
This record from Alexandria describes an optimized crystal structure of KTa2AgTe. The functional is GGA-PBE.

a = 5.1753 Å, b = 5.1753 Å, c = 5.5065 Å
α = 90.00°, β = 90.00°, γ = 90.00°
Space group P4/mmm (No. 123)
One atom of each set of equivalent atoms:
K1 0.0000 0.0000 0.0000
Ta1 0.0000 0.5000 0.5000
Ag1 0.5000 0.5000 0.0000
Te1 0.5000 0.5000 0.5000



2.
This record from Alexandria describes an optimized crystal structure of ZnHOs3. The functional is GGA-PBE.

Summary:
energy above the lowest structure with this stoichiometry	12.11	eV/f.u.

a = 4.5211 Å, b = 4.5211 Å, c = 4.5211 Å
α = 90.00°, β = 90.00°, γ = 90.00°
Space group Pm-3m (No. 221)
One atom of each set of equivalent atoms:
Zn1 0.0000 0.0000 0.0000
H1 0.5000 0.5000 0.5000
Os1 0.0000 0.0000 0.5000



3.
This record from Alexandria describes an optimized crystal structure of MnFe2Br. The functional is GGA-PBE.

Summary:
energy above the lowest structure with this stoichiometry	2.12	eV/f.u.

a = 5.9632 Å, b = 5.9632 Å, c = 5.9632 Å
α = 90.00°, β = 90.00°, γ = 90.00°
Space group Fm-3m (No. 225)
One atom of each set of equivalent atoms:
Mn1 0.0000 0.0000 0.0000
Fe1 0.2500 0.2500 0.2500
Br1 0.0000 0.0000 0.5000



4.
This record from Alexandria describes an optimized crystal structure of CeHIrRh2. The functional is GGA-PBE.

a = 4.1351 Å, b = 4.1351 Å, c = 4.0788 Å
α = 90.00°, β = 90.00°, γ = 90.00°
Space group P4/mmm (No. 123)
One atom of each set of equivalent atoms:
Ce1 0.0000 0.0000 0.0000
H1 0.5000 0.5000 0.5000
Ir1 0.5000 0.5000 0.0000
Rh1 0.0000 0.5000 0.5000



5.
This record from Alexandria describes an optimized crystal structure of La3Be2AgPd9. The functional is GGA-PBE.

Summary:
calculated formation energy	-0.607	eV per atom

a = 5.9273 Å, b = 5.9273 Å, c = 9.6523 Å
α = 90.00°, β = 90.00°, γ = 120.00°
Space group P-3m1 (No. 164)
One atom of each set of equivalent atoms:
La1 0.0000 0.0000 0.0000
La2 0.3333 0.6667 0.6692
Be1 0.3333 0.6667 0.1457
Ag1 0.0000 0.0000 0.5000
Pd1 0.0000 0.5000 0.0000
Pd2 0.1625 0.3250 0.2788



6.
This record from Alexandria describes an optimized crystal structure of HgI3N. The functional is GGA-PBE.

Summary:
energy above the lowest structure with this stoichiometry	1.65	eV/f.u.

a = 5.1391 Å, b = 5.1391 Å, c = 5.1391 Å
α = 90.00°, β = 90.00°, γ = 90.00°
Space group Pm-3m (No. 221)
One atom of each set of equivalent atoms:
Hg1 0.0000 0.0000 0.0000
I1 0.0000 0.5000 0.5000
N1 0.5000 0.5000 0.5000



For the records above, the corresponding uncorrected energy values read -23.390 -23.403 -96.948 -35.440 -80.924 -8.915 eV per cell.